Here is a geometry-optimized Br5Cl3 structure from Alexandria via LeMat-Bulk. Energies are from PBE.

Structure (POSCAR):
```
Br5Cl3
1.0
9.228 0.000 0.000
-3.700 8.723 0.000
-2.867 -3.719 9.254
Br Cl
10 6
Direct
0.000 0.000 0.000 Br
0.022 0.783 0.783 Br
0.129 0.468 0.182 Br
0.166 0.394 0.647 Br
0.308 0.991 0.802 Br
0.463 0.920 0.430 Br
0.543 0.271 0.776 Br
0.591 0.303 0.241 Br
0.751 0.610 0.313 Br
0.978 0.182 0.190 Br
0.271 0.743 0.182 Cl
0.442 0.437 0.873 Cl
0.661 0.095 0.673 Cl
0.832 0.537 0.803 Cl
0.900 0.897 0.382 Cl
0.946 0.374 0.473 Cl
```

## Properties
V = 372.5 Å³/f.u.
relative energy among the computed polymorphs = 0.000 eV per atom
D(E_F) = 8.47 states/eV per cell
E_form (uncorrected) = 60 meV per atom

***

Here is a geometry-optimized Br5Cl3 structure from Alexandria via LeMat-Bulk. Energies are from PBE.

Structure (POSCAR):
```
Br5Cl3
1.0
9.724 0.000 0.000
-4.862 8.421 0.000
0.000 0.000 6.504
Br Cl
10 6
Direct
0.000 0.194 0.250 Br
0.000 0.806 0.750 Br
0.194 0.000 0.250 Br
0.194 0.194 0.750 Br
0.333 0.667 0.000 Br
0.333 0.667 0.500 Br
0.667 0.333 0.000 Br
0.667 0.333 0.500 Br
0.806 0.000 0.750 Br
0.806 0.806 0.250 Br
0.000 0.283 0.750 Cl
0.000 0.717 0.250 Cl
0.283 0.000 0.750 Cl
0.283 0.283 0.250 Cl
0.717 0.000 0.250 Cl
0.717 0.717 0.750 Cl
```

## Properties
V = 266.3 Å³/f.u.
relative energy among the computed polymorphs = 0.274 eV per atom
D(E_F) = 23.82 states/eV per cell
E_form (uncorrected) = 334 meV per atom

***

Here is a geometry-optimized BrCl structure from Alexandria via LeMat-Bulk. Energies are from PBE.

Structure (POSCAR):
```
BrCl
1.0
-6.099 6.099 2.280
6.099 -6.099 2.280
6.099 6.099 -2.280
Br Cl
4 4
Direct
0.113 0.825 0.938 Br
0.175 0.113 0.288 Br
0.825 0.887 0.712 Br
0.887 0.175 0.062 Br
0.054 0.275 0.329 Cl
0.275 0.946 0.221 Cl
0.725 0.054 0.779 Cl
0.946 0.725 0.671 Cl
```

## Properties
V = 84.8 Å³/f.u.
relative energy among the computed polymorphs = 0.024 eV per atom
D(E_F) = 0.00 states/eV per cell
E_form (uncorrected) = -4 meV per atom

***

Here is a geometry-optimized BrCl structure from Alexandria via LeMat-Bulk. Energies are from PBE.

Structure (POSCAR):
```
BrCl
1.0
3.816 0.000 0.000
-1.908 3.305 0.000
0.000 0.000 8.204
Br Cl
2 2
Direct
0.333 0.667 0.125 Br
0.667 0.333 0.875 Br
0.333 0.667 0.630 Cl
0.667 0.333 0.370 Cl
```

## Properties
V = 51.7 Å³/f.u.
relative energy among the computed polymorphs = 0.652 eV per atom
D(E_F) = 6.45 states/eV per cell
E_form (uncorrected) = 624 meV per atom

***

Here is a geometry-optimized BrCl structure from Alexandria via LeMat-Bulk. Energies are from PBE.

Structure (POSCAR):
```
BrCl
1.0
-4.806 4.806 4.806
4.806 -4.806 4.806
4.806 4.806 -4.806
Br Cl
4 4
Direct
0.000 0.000 0.470 Br
0.000 0.470 0.000 Br
0.470 0.000 0.000 Br
0.530 0.530 0.530 Br
0.000 0.000 0.729 Cl
0.000 0.729 0.000 Cl
0.271 0.271 0.271 Cl
0.729 0.000 0.000 Cl
```

## Properties
V = 111.0 Å³/f.u.
relative energy among the computed polymorphs = 0.119 eV per atom
E_form (uncorrected) = 91 meV per atom

***

Here is a geometry-optimized Br3Cl5 structure from Alexandria via LeMat-Bulk. Energies are from PBE.

Structure (POSCAR):
```
Br3Cl5
1.0
8.339 0.000 0.000
-4.170 7.222 0.000
0.000 0.000 7.366
Br Cl
6 10
Direct
0.000 0.335 0.250 Br
0.000 0.665 0.750 Br
0.335 0.000 0.250 Br
0.335 0.335 0.750 Br
0.665 0.000 0.750 Br
0.665 0.665 0.250 Br
0.000 0.220 0.750 Cl
0.000 0.780 0.250 Cl
0.220 0.000 0.750 Cl
0.220 0.220 0.250 Cl
0.333 0.667 0.000 Cl
0.333 0.667 0.500 Cl
0.667 0.333 0.000 Cl
0.667 0.333 0.500 Cl
0.780 0.000 0.250 Cl
0.780 0.780 0.750 Cl
```

## Properties
V = 221.8 Å³/f.u.
D(E_F) = 19.66 states/eV per cell
E_form (uncorrected) = 344 meV per atom

***

Here is a geometry-optimized BrCl structure from Alexandria via LeMat-Bulk. Energies are from PBE.

Structure (POSCAR):
```
BrCl
1.0
4.806 -2.161 0.000
4.806 2.161 0.000
-1.790 0.000 7.840
Br Cl
2 2
Direct
0.122 0.122 0.496 Br
0.878 0.878 0.504 Br
0.401 0.401 0.018 Cl
0.599 0.599 0.982 Cl
```

## Properties
V = 81.4 Å³/f.u.
relative energy among the computed polymorphs = 0.089 eV per atom
D(E_F) = 0.04 states/eV per cell
E_form (uncorrected) = 61 meV per atom

***

Here is a geometry-optimized BrCl2 structure from Alexandria via LeMat-Bulk. Energies are from PBE.

Structure (POSCAR):
```
BrCl2
1.0
7.408 0.000 0.000
-3.704 6.415 0.000
0.000 0.000 6.728
Br Cl
4 8
Direct
0.333 0.667 0.074 Br
0.333 0.667 0.426 Br
0.667 0.333 0.574 Br
0.667 0.333 0.926 Br
0.000 0.000 0.000 Cl
0.000 0.000 0.500 Cl
0.170 0.341 0.750 Cl
0.170 0.830 0.750 Cl
0.341 0.170 0.250 Cl
0.659 0.830 0.750 Cl
0.830 0.170 0.250 Cl
0.830 0.659 0.250 Cl
```

## Properties
V = 79.9 Å³/f.u.
relative energy among the computed polymorphs = 0.413 eV per atom
D(E_F) = 12.09 states/eV per cell
E_form (uncorrected) = 464 meV per atom

***

Here is a geometry-optimized BrCl2 structure from Alexandria via LeMat-Bulk. Energies are from PBE.

Structure (POSCAR):
```
BrCl2
1.0
4.737 0.000 0.000
0.000 4.737 0.000
0.000 0.000 3.438
Br Cl
1 2
Direct
0.000 0.000 0.000 Br
0.000 0.500 0.500 Cl
0.500 0.000 0.500 Cl
```

## Properties
V = 77.1 Å³/f.u.
relative energy among the computed polymorphs = 0.551 eV per atom
D(E_F) = 2.99 states/eV per cell
E_form (uncorrected) = 602 meV per atom

***

Here is a geometry-optimized BrCl structure from Alexandria via LeMat-Bulk. Energies are from PBE.

Structure (POSCAR):
```
BrCl
1.0
11.811 0.000 0.000
-5.905 10.228 0.000
0.000 0.000 4.326
Br Cl
6 6
Direct
0.152 0.314 0.250 Br
0.162 0.848 0.250 Br
0.314 0.162 0.750 Br
0.686 0.838 0.250 Br
0.838 0.152 0.750 Br
0.848 0.686 0.750 Br
0.102 0.467 0.250 Cl
0.364 0.898 0.250 Cl
0.467 0.364 0.750 Cl
0.533 0.636 0.250 Cl
0.636 0.102 0.750 Cl
0.898 0.533 0.750 Cl
```

## Properties
V = 87.1 Å³/f.u.
relative energy among the computed polymorphs = 0.109 eV per atom
D(E_F) = 0.00 states/eV per cell
E_form (uncorrected) = 82 meV per atom

***

Here is a geometry-optimized BrCl2 structure from Alexandria via LeMat-Bulk. Energies are from PBE.

Structure (POSCAR):
```
BrCl2
1.0
0.000 3.543 3.543
3.543 0.000 3.543
3.543 3.543 0.000
Br Cl
1 2
Direct
0.000 0.000 0.000 Br
0.250 0.250 0.250 Cl
0.750 0.750 0.750 Cl
```

## Properties
V = 89.0 Å³/f.u.
relative energy among the computed polymorphs = 0.658 eV per atom
D(E_F) = 5.00 states/eV per cell
E_form (uncorrected) = 709 meV per atom

***

Here is a geometry-optimized BrCl structure from Alexandria via LeMat-Bulk. Energies are from PBE.

Structure (POSCAR):
```
BrCl
1.0
0.000 3.622 3.622
3.622 0.000 3.622
3.622 3.622 0.000
Br Cl
2 2
Direct
0.125 0.125 0.125 Br
0.875 0.875 0.875 Br
0.375 0.375 0.375 Cl
0.625 0.625 0.625 Cl
```

## Properties
V = 47.5 Å³/f.u.
relative energy among the computed polymorphs = 0.749 eV per atom
D(E_F) = 6.48 states/eV per cell
E_form (uncorrected) = 721 meV per atom